Material: VAgCO5
Method: DFT, PBE+U
State: relaxed

abc: 5.243 5.243 7.009
angles: 105.99 105.99 102.88
Sites, in units of the cell vectors:
V 0.000 0.000 0.500
V 0.000 0.000 0.000
Ag 0.346 0.654 0.250
Ag 0.654 0.346 0.750
C 0.688 0.312 0.250
C 0.312 0.688 0.750
O 0.072 0.928 0.250
O 0.928 0.072 0.750
O 0.865 0.308 0.137
O 0.135 0.692 0.863
O 0.692 0.135 0.363
O 0.308 0.865 0.637
O 0.746 0.593 0.394
O 0.254 0.407 0.606
O 0.407 0.254 0.106
O 0.593 0.746 0.894

Properties
Symmetry: C2/c
Total DFT energy (no corrections) in eV per atom: -6.593
DOS(E_F) in states/eV per atom: 0.12